# 1
## VTc8C2 (GGA-PBE)

Data for an optimized crystal structure of VTc8C2.

Results
Energy of formation from the pure elements in meV per atom: 357
D(E_F) in states/eV per cell: 15.5

Cell: 9.564 7.816 4.120 Å, 90.00 93.07 90.00°
Space group C2/m (No. 12)
Inequivalent atoms, fractional coordinates:
1 V 0.000 0.000 0.000 (multiplicity 2)
2 Tc 0.091 0.500 0.768 (multiplicity 4)
3 Tc 0.101 0.259 0.273 (multiplicity 8)
4 Tc 0.212 0.000 0.729 (multiplicity 4)
5 C 0.190 0.000 0.243 (multiplicity 4)

---

# 2
## Y2VTcC (GGA-PBE)

Data for an optimized crystal structure of Y2VTcC.

Results
Energy of formation from the pure elements in meV per atom: 1133
D(E_F) in states/eV per cell: 5.3

Cell: 5.255 5.255 3.770 Å, 90.00 90.00 90.00°
Space group P4/mmm (No. 123)
Inequivalent atoms, fractional coordinates:
1 Y 0.000 0.500 0.000 (multiplicity 2)
2 V 0.000 0.000 0.000 (multiplicity 1)
3 Tc 0.500 0.500 0.500 (multiplicity 1)
4 C 0.000 0.000 0.500 (multiplicity 1)

---

# 3
## TcWC3 (GGA-PBE)

Data for an optimized crystal structure of TcWC3.

Results
Energy above the most stable polymorph in this dataset in eV/atom: 0.143
Energy of formation from the pure elements in meV per atom: 2391
D(E_F) in states/eV per cell: 7.0

Cell: 3.911 3.911 3.911 Å, 90.00 90.00 90.00°
Space group Pm-3m (No. 221)
Inequivalent atoms, fractional coordinates:
1 Tc 0.000 0.000 0.000 (multiplicity 1)
2 W 0.500 0.500 0.500 (multiplicity 1)
3 C 0.000 0.000 0.500 (multiplicity 3)

---

# 4
## TcWC3 (GGA-PBE)

Data for an optimized crystal structure of TcWC3.

Results
Energy above the most stable polymorph in this dataset in eV/atom: 0.000
Energy of formation from the pure elements in meV per atom: 2248
D(E_F) in states/eV per cell: 11.0

Cell: 4.008 4.008 4.008 Å, 90.00 90.00 90.00°
Space group Pm-3m (No. 221)
Inequivalent atoms, fractional coordinates:
1 Tc 0.000 0.000 0.000 (multiplicity 1)
2 W 0.500 0.500 0.500 (multiplicity 1)
3 C 0.000 0.500 0.500 (multiplicity 3)

---

# 5
## TcW2C (GGA-PBE)

Data for an optimized crystal structure of TcW2C.

Results
Energy of formation from the pure elements in meV per atom: 99
D(E_F) in states/eV per cell: 7.9

Cell: 3.0119 3.0119 20.3968 Å, 90.00 90.00 120.00°
Space group R-3m (No. 166, hexagonal axes)
Inequivalent atoms, fractional coordinates:
1 Tc 0.0000 0.0000 0.0000 (multiplicity 3)
2 W 0.0000 0.0000 0.2261 (multiplicity 6)
3 C 0.0000 0.0000 0.5000 (multiplicity 3)

---

# 6
## Tc2WC (GGA-PBE)

Data for an optimized crystal structure of Tc2WC.

Results
Energy of formation from the pure elements in meV per atom: 352
D(E_F) in states/eV per cell: 13.3

Cell: 6.930 6.930 4.501 Å, 90.00 90.00 90.00°
Space group I-42d (No. 122)
Inequivalent atoms, fractional coordinates:
1 Tc 0.140 0.250 0.125 (multiplicity 8)
2 W 0.000 0.000 0.500 (multiplicity 4)
3 C 0.000 0.000 0.000 (multiplicity 4)

---

# 7
## TcW3C (GGA-PBE)

Data for an optimized crystal structure of TcW3C.

Results
Energy above the most stable polymorph in this dataset in eV/atom: 0.000
Energy of formation from the pure elements in meV per atom: 202
D(E_F) in states/eV per cell: 4.3

Cell: 4.141 4.141 4.141 Å, 90.00 90.00 90.00°
Space group Pm-3m (No. 221)
Inequivalent atoms, fractional coordinates:
1 Tc 0.000 0.000 0.000 (multiplicity 1)
2 W 0.000 0.500 0.500 (multiplicity 3)
3 C 0.500 0.500 0.500 (multiplicity 1)

---

# 8
## TcW2C (GGA-PBE)

Data for an optimized crystal structure of TcW2C.

Results
Energy of formation from the pure elements in meV per atom: 367
D(E_F) in states/eV per cell: 10.0

Cell: 7.103 7.103 4.460 Å, 90.00 90.00 90.00°
Space group I-42d (No. 122)
Inequivalent atoms, fractional coordinates:
1 Tc 0.000 0.000 0.000 (multiplicity 4)
2 W 0.138 0.750 0.625 (multiplicity 8)
3 C 0.000 0.000 0.500 (multiplicity 4)

---

# 9
## TcW2C (GGA-PBE)

Data for an optimized crystal structure of TcW2C.

Results
Energy of formation from the pure elements in meV per atom: 165
D(E_F) in states/eV per cell: 5.9

Cell: 2.9958 2.9958 13.7600 Å, 90.00 90.00 120.00°
Space group P3m1 (No. 156)
Inequivalent atoms, fractional coordinates:
1 Tc 0.0000 0.0000 0.0000 (multiplicity 1)
2 Tc 0.0000 0.0000 0.3177 (multiplicity 1)
3 W 0.0000 0.0000 0.6563 (multiplicity 1)
4 W 0.6667 0.3333 0.1666 (multiplicity 1)
5 W 0.6667 0.3333 0.4788 (multiplicity 1)
6 W 0.6667 0.3333 0.8246 (multiplicity 1)
7 C 0.3333 0.6667 0.5673 (multiplicity 1)
8 C 0.3333 0.6667 0.9152 (multiplicity 1)

---

# 10
## TcW3C (GGA-PBE)

Data for an optimized crystal structure of TcW3C.

Results
Energy above the most stable polymorph in this dataset in eV/atom: 3.013
Energy of formation from the pure elements in meV per atom: 3216
D(E_F) in states/eV per cell: 7.0

Cell: 4.689 4.689 4.689 Å, 90.00 90.00 90.00°
Space group Pm-3m (No. 221)
Inequivalent atoms, fractional coordinates:
1 Tc 0.000 0.000 0.000 (multiplicity 1)
2 W 0.000 0.000 0.500 (multiplicity 3)
3 C 0.500 0.500 0.500 (multiplicity 1)

---

# 11
## Y2Tc2C3 (GGA-PBE)

Data for an optimized crystal structure of Y2Tc2C3.

Results
Energy of formation from the pure elements in meV per atom: -343
D(E_F) in states/eV per cell: 6.3

Cell: 11.672 3.336 5.699 Å, 90.00 113.97 90.00°
Space group C2/m (No. 12)
Inequivalent atoms, fractional coordinates:
1 Y 0.109 0.000 0.321 (multiplicity 4)
2 Tc 0.158 0.500 0.821 (multiplicity 4)
3 C 0.000 0.500 0.500 (multiplicity 2)
4 C 0.247 0.500 0.228 (multiplicity 4)

---

# 12
## YTc3C (GGA-PBE)

Data for an optimized crystal structure of YTc3C.

Results
Energy above the most stable polymorph in this dataset in eV/atom: 0.000
Energy of formation from the pure elements in meV per atom: 58
D(E_F) in states/eV per cell: 5.3

Cell: 4.226 4.226 4.226 Å, 90.00 90.00 90.00°
Space group Pm-3m (No. 221)
Inequivalent atoms, fractional coordinates:
1 Y 0.000 0.000 0.000 (multiplicity 1)
2 Tc 0.000 0.500 0.500 (multiplicity 3)
3 C 0.500 0.500 0.500 (multiplicity 1)

---

# 13
## Y3TcC3 (GGA-PBE)

Data for an optimized crystal structure of Y3TcC3.

Results
Energy above the most stable polymorph in this dataset in eV/atom: 0.089
Energy of formation from the pure elements in meV per atom: -263
D(E_F) in states/eV per cell: 11.4

Cell: 7.4946 7.4946 5.0697 Å, 90.00 90.00 120.00°
Space group P6_3/m (No. 176)
Inequivalent atoms, fractional coordinates:
1 Y 0.0885 0.3650 0.2500 (multiplicity 6)
2 Tc 0.3333 0.6667 0.7500 (multiplicity 2)
3 C 0.0945 0.3958 0.7500 (multiplicity 6)

---

# 14
## YTc3C (GGA-PBE)

Data for an optimized crystal structure of YTc3C.

Results
Energy above the most stable polymorph in this dataset in eV/atom: 3.652
Energy of formation from the pure elements in meV per atom: 3709
D(E_F) in states/eV per cell: 9.1

Cell: 4.871 4.871 4.871 Å, 90.00 90.00 90.00°
Space group Pm-3m (No. 221)
Inequivalent atoms, fractional coordinates:
1 Y 0.000 0.000 0.000 (multiplicity 1)
2 Tc 0.000 0.000 0.500 (multiplicity 3)
3 C 0.500 0.500 0.500 (multiplicity 1)

---

# 15
## YTc2C2 (GGA-PBE)

Data for an optimized crystal structure of YTc2C2.

Results
Energy of formation from the pure elements in meV per atom: -161
D(E_F) in states/eV per cell: 7.6

Cell: 6.826 8.723 5.567 Å, 90.00 123.35 90.00°
Space group C2/c (No. 15)
Inequivalent atoms, fractional coordinates:
1 Y 0.000 0.127 0.250 (multiplicity 4)
2 Tc 0.152 0.382 0.032 (multiplicity 8)
3 C 0.000 0.185 0.750 (multiplicity 4)
4 C 0.000 0.426 0.250 (multiplicity 4)

---

# 16
## Y3TcC3 (GGA-PBE)

Data for an optimized crystal structure of Y3TcC3.

Results
Energy above the most stable polymorph in this dataset in eV/atom: 0.000
Energy of formation from the pure elements in meV per atom: -352
D(E_F) in states/eV per cell: 14.2

Cell: 8.719 10.490 5.145 Å, 90.00 90.00 90.00°
Space group Cmcm (No. 63)
Inequivalent atoms, fractional coordinates:
1 Y 0.000 0.108 0.250 (multiplicity 4)
2 Y 0.213 0.381 0.250 (multiplicity 8)
3 Tc 0.000 0.308 0.750 (multiplicity 4)
4 C 0.000 0.124 0.750 (multiplicity 4)
5 C 0.206 0.377 0.750 (multiplicity 8)

---

# 17
## Y3TcC (GGA-PBE)

Data for an optimized crystal structure of Y3TcC.

Results
Energy above the most stable polymorph in this dataset in eV/atom: 0.000
Energy of formation from the pure elements in meV per atom: 175
D(E_F) in states/eV per cell: 8.1

Cell: 4.819 4.819 4.819 Å, 90.00 90.00 90.00°
Space group Pm-3m (No. 221)
Inequivalent atoms, fractional coordinates:
1 Y 0.000 0.000 0.500 (multiplicity 3)
2 Tc 0.500 0.500 0.500 (multiplicity 1)
3 C 0.000 0.000 0.000 (multiplicity 1)

---

# 18
## Y2ZnTcC (GGA-PBE)

Data for an optimized crystal structure of Y2ZnTcC.

Results
Energy of formation from the pure elements in meV per atom: -306
D(E_F) in states/eV per cell: 2.8

Cell: 4.949 4.949 3.971 Å, 90.00 90.00 90.00°
Space group P4/mmm (No. 123)
Inequivalent atoms, fractional coordinates:
1 Y 0.000 0.500 0.000 (multiplicity 2)
2 Zn 0.000 0.000 0.500 (multiplicity 1)
3 Tc 0.500 0.500 0.500 (multiplicity 1)
4 C 0.500 0.500 0.000 (multiplicity 1)

---

# 19
## ZnTcC3 (GGA-PBE)

Data for an optimized crystal structure of ZnTcC3.

Results
Energy above the most stable polymorph in this dataset in eV/atom: 1.054
Energy of formation from the pure elements in meV per atom: 2962
D(E_F) in states/eV per cell: 3.6

Cell: 3.814 3.814 3.814 Å, 90.00 90.00 90.00°
Space group Pm-3m (No. 221)
Inequivalent atoms, fractional coordinates:
1 Zn 0.000 0.000 0.000 (multiplicity 1)
2 Tc 0.500 0.500 0.500 (multiplicity 1)
3 C 0.000 0.000 0.500 (multiplicity 3)

---

# 20
## Zn3TcC (GGA-PBE)

Data for an optimized crystal structure of Zn3TcC.

Results
Energy of formation from the pure elements in meV per atom: 962
D(E_F) in states/eV per cell: 4.7

Cell: 4.086 4.086 4.086 Å, 90.00 90.00 90.00°
Space group Pm-3m (No. 221)
Inequivalent atoms, fractional coordinates:
1 Zn 0.000 0.000 0.500 (multiplicity 3)
2 Tc 0.500 0.500 0.500 (multiplicity 1)
3 C 0.000 0.000 0.000 (multiplicity 1)

---

# 21
## ZnTcC3 (GGA-PBE)

Data for an optimized crystal structure of ZnTcC3.

Results
Energy above the most stable polymorph in this dataset in eV/atom: 0.000
Energy of formation from the pure elements in meV per atom: 1908
D(E_F) in states/eV per cell: 2.4

Cell: 4.035 4.035 4.035 Å, 90.00 90.00 90.00°
Space group Pm-3m (No. 221)
Inequivalent atoms, fractional coordinates:
1 Zn 0.000 0.000 0.000 (multiplicity 1)
2 Tc 0.500 0.500 0.500 (multiplicity 1)
3 C 0.000 0.500 0.500 (multiplicity 3)

---

# 22
## ZrTc2C (GGA-PBE)

Data for an optimized crystal structure of ZrTc2C.

Results
Energy of formation from the pure elements in meV per atom: -24
D(E_F) in states/eV per cell: 7.3

Cell: 7.006 7.006 4.787 Å, 90.00 90.00 90.00°
Space group I-42d (No. 122)
Inequivalent atoms, fractional coordinates:
1 Zr 0.000 0.000 0.000 (multiplicity 4)
2 Tc 0.136 0.250 0.625 (multiplicity 8)
3 C 0.000 0.000 0.500 (multiplicity 4)

---

# 23
## Zr3TcC (GGA-PBE)

Data for an optimized crystal structure of Zr3TcC.

Results
Energy above the most stable polymorph in this dataset in eV/atom: 1.800
Energy of formation from the pure elements in meV per atom: 1633
D(E_F) in states/eV per cell: 8.9

Cell: 4.957 4.957 4.957 Å, 90.00 90.00 90.00°
Space group Pm-3m (No. 221)
Inequivalent atoms, fractional coordinates:
1 Zr 0.000 0.000 0.500 (multiplicity 3)
2 Tc 0.000 0.000 0.000 (multiplicity 1)
3 C 0.500 0.500 0.500 (multiplicity 1)

---

# 24
## Zr3TcC (GGA-PBE)

Data for an optimized crystal structure of Zr3TcC.

Results
Energy above the most stable polymorph in this dataset in eV/atom: 0.000
Energy of formation from the pure elements in meV per atom: -167
D(E_F) in states/eV per cell: 3.7

Cell: 4.503 4.503 4.503 Å, 90.00 90.00 90.00°
Space group Pm-3m (No. 221)
Inequivalent atoms, fractional coordinates:
1 Zr 0.000 0.000 0.500 (multiplicity 3)
2 Tc 0.500 0.500 0.500 (multiplicity 1)
3 C 0.000 0.000 0.000 (multiplicity 1)

---

# 25
## ZrTcC3 (GGA-PBE)

Data for an optimized crystal structure of ZrTcC3.

Results
Energy above the most stable polymorph in this dataset in eV/atom: 0.000
Energy of formation from the pure elements in meV per atom: 1191
D(E_F) in states/eV per cell: 2.9

Cell: 3.946 3.946 3.946 Å, 90.00 90.00 90.00°
Space group Pm-3m (No. 221)
Inequivalent atoms, fractional coordinates:
1 Zr 0.000 0.000 0.000 (multiplicity 1)
2 Tc 0.500 0.500 0.500 (multiplicity 1)
3 C 0.000 0.500 0.500 (multiplicity 3)

---

# 26
## ZrTcC3 (GGA-PBE)

Data for an optimized crystal structure of ZrTcC3.

Results
Energy above the most stable polymorph in this dataset in eV/atom: 1.452
Energy of formation from the pure elements in meV per atom: 2643
D(E_F) in states/eV per cell: 7.3

Cell: 4.162 4.162 4.162 Å, 90.00 90.00 90.00°
Space group Pm-3m (No. 221)
Inequivalent atoms, fractional coordinates:
1 Zr 0.000 0.000 0.000 (multiplicity 1)
2 Tc 0.500 0.500 0.500 (multiplicity 1)
3 C 0.000 0.000 0.500 (multiplicity 3)

---

Number 1: calculated volume 13.98 A^3/atom, total moment 0.000 Bohr magnetons per cell. Number 2: calculated volume 20.82 A^3/atom, total moment 1.400 Bohr magnetons per cell. Number 3: calculated volume 11.96 A^3/atom, total moment 0.000 Bohr magnetons per cell. Number 4: calculated volume 12.88 A^3/atom, total moment 0.000 Bohr magnetons per cell. Number 5: calculated volume 13.35 A^3/atom, total moment 0.000 Bohr magnetons per cell. Number 6: calculated volume 13.51 A^3/atom, total moment 0.000 Bohr magnetons per cell. Number 7: calculated volume 14.21 A^3/atom, total moment 0.000 Bohr magnetons per cell. Number 8: calculated volume 14.06 A^3/atom, total moment 0.000 Bohr magnetons per cell. Number 9: calculated volume 13.37 A^3/atom, total moment 0.000 Bohr magnetons per cell. Number 10: calculated volume 20.62 A^3/atom, total moment 0.000 Bohr magnetons per cell. Number 11: calculated volume 14.48 A^3/atom, total moment 0.000 Bohr magnetons per cell. Number 12: calculated volume 15.10 A^3/atom, total moment 1.613 Bohr magnetons per cell. Number 13: calculated volume 17.61 A^3/atom, total moment 0.626 Bohr magnetons per cell. Number 14: calculated volume 23.12 A^3/atom, total moment 4.436 Bohr magnetons per cell. Number 15: calculated volume 13.84 A^3/atom, total moment 0.000 Bohr magnetons per cell. Number 16: calculated volume 16.81 A^3/atom, total moment 0.749 Bohr magnetons per cell. Number 17: calculated volume 22.38 A^3/atom, total moment 0.799 Bohr magnetons per cell. Number 18: calculated volume 19.46 A^3/atom, total moment 0.000 Bohr magnetons per cell. Number 19: calculated volume 11.10 A^3/atom, total moment 0.000 Bohr magnetons per cell. Number 20: calculated volume 13.65 A^3/atom, total moment 1.714 Bohr magnetons per cell. Number 21: calculated volume 13.14 A^3/atom, total moment 0.000 Bohr magnetons per cell. Number 22: calculated volume 14.69 A^3/atom, total moment 0.000 Bohr magnetons per cell. Number 23: calculated volume 24.36 A^3/atom, total moment 0.002 Bohr magnetons per cell. Number 24: calculated volume 18.27 A^3/atom, total moment 0.000 Bohr magnetons per cell. Number 25: calculated volume 12.29 A^3/atom, total moment 0.000 Bohr magnetons per cell. Number 26: calculated volume 14.42 A^3/atom, total moment 0.000 Bohr magnetons per cell.